# Pa2ZnNiN5

Crystalline Pa2ZnNiN5 at its relaxed geometry (PBE, the Alexandria database).

Calculated values
V in Å³/cell: 420
Total moment in μB/cell: 3.04
E in eV per atom: -8.223

Cell lengths 3.3765, 14.1183, 8.8182 Å; angles 90.00, 90.00, 90.00 degrees
Space group Cmc2_1 (No. 36)
Asymmetric unit:
Pa  0.0000  0.1259  0.0000 (multiplicity 4)
Pa  0.0000  0.1344  0.5532 (multiplicity 4)
Zn  0.0000  0.4780  0.7741 (multiplicity 4)
Ni  0.0000  0.2296  0.2738 (multiplicity 4)
N  0.0000  0.0934  0.2797 (multiplicity 4)
N  0.0000  0.2819  0.9237 (multiplicity 4)
N  0.0000  0.2881  0.6220 (multiplicity 4)
N  0.0000  0.3698  0.2527 (multiplicity 4)
N  0.0000  0.4913  0.5211 (multiplicity 4)